(1)
This record from Alexandria via LeMat-Bulk describes a geometry-optimized W3AuN structure. The functional is PBE.

As for the raw formation energy: 0.82 eV/f.u. The crystal system is cubic. The calculation puts the total magnetization at 0.0 μB/f.u. As for the final energy: -9.929 eV per atom. Its density of states at the Fermi level is 0.829 states/eV per atom.

The space group is Pm-3m (No. 221) and the conventional cell measures 4.151, 4.151 and 4.151 Å, with angles of 90.00, 90.00 and 90.00 degrees. The inequivalent atoms are W at (0.000, 0.000, 0.500), Au at (0.500, 0.500, 0.500) and N at (0.000, 0.000, 0.000).

(2)
This record from Alexandria via LeMat-Bulk describes a geometry-optimized WAu3N structure. The functional is PBE.

As for the raw formation energy: 12.67 eV/f.u. The crystal system is cubic. The calculation puts the total magnetization at 0.0 μB/f.u. As for the final energy: -3.688 eV per atom. Its density of states at the Fermi level is 1.900 states/eV per atom.

The space group is Pm-3m (No. 221) and the conventional cell measures 5.046, 5.046 and 5.046 Å, with angles of 90.00, 90.00 and 90.00 degrees. The inequivalent atoms are W at (0.000, 0.000, 0.000), Au at (0.000, 0.000, 0.500) and N at (0.500, 0.500, 0.500).

(3)
This record from Alexandria via LeMat-Bulk describes a geometry-optimized WAuN3 structure. The functional is PBE.

As for the raw formation energy: 13.16 eV/f.u. The crystal system is cubic. The calculation puts the total magnetization at 1.1 μB/f.u. As for the final energy: -5.608 eV per atom. Its density of states at the Fermi level is 0.543 states/eV per atom.

The space group is Pm-3m (No. 221) and the conventional cell measures 3.945, 3.945 and 3.945 Å, with angles of 90.00, 90.00 and 90.00 degrees. The inequivalent atoms are W at (0.000, 0.000, 0.000), Au at (0.500, 0.500, 0.500) and N at (0.000, 0.500, 0.500).

(4)
This record from Alexandria via LeMat-Bulk describes a geometry-optimized W2AuN structure. The functional is PBE.

As for the raw formation energy: 1.76 eV/f.u. The crystal system is trigonal. The calculation puts the total magnetization at 0.0 μB/f.u. As for the final energy: -8.937 eV per atom. Its density of states at the Fermi level is 0.434 states/eV per atom.

The space group is R-3m (No. 166, hexagonal axes) and the conventional cell measures 2.8099, 2.8099 and 25.7321 Å, with angles of 90.00, 90.00 and 120.00 degrees. The inequivalent atoms are W at (0.0000, 0.0000, 0.1100), Au at (0.0000, 0.0000, 0.0000) and N at (0.0000, 0.0000, 0.5000).

(5)
This record from Alexandria via LeMat-Bulk describes a geometry-optimized W3AuN structure. The functional is PBE.

As for the raw formation energy: 19.36 eV/f.u. The crystal system is cubic. The calculation puts the total magnetization at 0.0 μB/f.u. As for the final energy: -6.220 eV per atom. Its density of states at the Fermi level is 1.300 states/eV per atom.

The space group is Pm-3m (No. 221) and the conventional cell measures 4.836, 4.836 and 4.836 Å, with angles of 90.00, 90.00 and 90.00 degrees. The inequivalent atoms are W at (0.000, 0.000, 0.500), Au at (0.000, 0.000, 0.000) and N at (0.500, 0.500, 0.500).

(6)
This record from Alexandria via LeMat-Bulk describes a geometry-optimized WAuN3 structure. The functional is PBE.

As for the raw formation energy: 4.70 eV/f.u. The crystal system is cubic. The calculation puts the total magnetization at 1.9 μB/f.u. As for the final energy: -7.302 eV per atom. Its density of states at the Fermi level is 0.398 states/eV per atom.

The space group is Pm-3m (No. 221) and the conventional cell measures 3.994, 3.994 and 3.994 Å, with angles of 90.00, 90.00 and 90.00 degrees. The inequivalent atoms are W at (0.000, 0.000, 0.000), Au at (0.500, 0.500, 0.500) and N at (0.000, 0.000, 0.500).

(7)
This record from Alexandria via LeMat-Bulk describes a geometry-optimized WAu3N structure. The functional is PBE.

As for the raw formation energy: 7.32 eV/f.u. The crystal system is cubic. The calculation puts the total magnetization at 0.0 μB/f.u. As for the final energy: -4.758 eV per atom. Its density of states at the Fermi level is 0.980 states/eV per atom.

The space group is Pm-3m (No. 221) and the conventional cell measures 4.333, 4.333 and 4.333 Å, with angles of 90.00, 90.00 and 90.00 degrees. The inequivalent atoms are W at (0.000, 0.000, 0.000), Au at (0.000, 0.500, 0.500) and N at (0.500, 0.500, 0.500).

(8)
This record from Alexandria via LeMat-Bulk describes a geometry-optimized W2AuN structure. The functional is PBE.

As for the raw formation energy: 2.74 eV/f.u. The crystal system is tetragonal. The calculation puts the total magnetization at 0.0 μB/f.u. As for the final energy: -8.691 eV per atom. Its density of states at the Fermi level is 0.552 states/eV per atom.

The space group is I-42d (No. 122) and the conventional cell measures 4.876, 4.876 and 11.746 Å, with angles of 90.00, 90.00 and 90.00 degrees. The inequivalent atoms are W at (0.127, 0.250, 0.125), Au at (0.000, 0.000, 0.500) and N at (0.000, 0.000, 0.000).

Q: What is the raw formation energy in the fourth record?
A: 1.76 eV/f.u.

Q: Among the records above, which one has the highest raw formation energy?
A: number 5

Q: What is the total magnetization in the sixth record?
A: 1.9 μB/f.u.

Copy entry 8 word for word.
This record from Alexandria via LeMat-Bulk describes a geometry-optimized W2AuN structure. The functional is PBE.

As for the raw formation energy: 2.74 eV/f.u. The crystal system is tetragonal. The calculation puts the total magnetization at 0.0 μB/f.u. As for the final energy: -8.691 eV per atom. Its density of states at the Fermi level is 0.552 states/eV per atom.

The space group is I-42d (No. 122) and the conventional cell measures 4.876, 4.876 and 11.746 Å, with angles of 90.00, 90.00 and 90.00 degrees. The inequivalent atoms are W at (0.127, 0.250, 0.125), Au at (0.000, 0.000, 0.500) and N at (0.000, 0.000, 0.000).